1.
A plane-wave DFT calculation with GGA-PBE was carried out for crystalline Cd2CoH5 at its relaxed geometry.

Space group: P1
DFT total energy: -3.1126 eV/atom

a b c (Å): 4.674 4.595 4.579
angles (deg): 86.55 63.50 63.50
Positions (direct):
H (0.129, 0.202, 0.186)
H (0.376, 0.753, 0.747)
H (0.862, 0.867, 0.882)
H (0.983, 0.270, 0.778)
H (0.000, 0.781, 0.271)
Cd (0.544, 0.202, 0.679)
Cd (0.537, 0.677, 0.211)
Co (0.014, 0.025, 0.023)

2.
A plane-wave DFT calculation with GGA-PBE was carried out for crystalline LiAg2Cl at its relaxed geometry.

ΔE to the lowest computed polymorph: 117.7 meV/atom
Space group: P2/m
Energy relative to the elements, uncorrected: -0.45 eV per atom

a b c (Å): 6.219 3.619 3.902
angles (deg): 90.10 90.00 90.00
Positions (direct):
Ag (0.000, 0.999, 0.999)
Ag (0.000, 0.501, 0.501)
Li (0.500, 0.750, 0.750)
Cl (0.500, 0.250, 0.250)

3.
A plane-wave DFT calculation with GGA-PBE was carried out for crystalline Tm2Sc3Zn2 at its relaxed geometry.

Space group: C2/m
DFT formation energy: -0.88 eV per formula unit

a b c (Å): 4.597 5.785 7.507
angles (deg): 113.20 90.00 113.41
Positions (direct):
Tm (0.135, 0.270, 0.777)
Tm (0.865, 0.730, 0.223)
Sc (0.500, 0.000, 0.000)
Sc (0.364, 0.728, 0.544)
Sc (0.636, 0.272, 0.456)
Zn (0.857, 0.713, 0.812)
Zn (0.143, 0.287, 0.188)

Number 1: Fermi-level density of states 0.36 states/eV/f.u.. Number 2: Fermi-level density of states 1.05 states/eV/f.u.. Number 3: Fermi-level density of states 7.99 states/eV/f.u..